No. 1
The following is a PBE calculation of crystalline SrW2Se at its relaxed geometry, from the Alexandria database. Values from VASP.

Quantum ESPRESSO input file:
```
&SYSTEM
  ibrav = 0, nat = 4, ntyp = 3
/
ATOMIC_SPECIES
Se 78.96 Se.upf
Sr 87.62 Sr.upf
W 183.84 W.upf
CELL_PARAMETERS angstrom
5.598 0.000 0.000
0.000 3.050 0.009
0.000 0.126 4.920
ATOMIC_POSITIONS crystal
Se 0.500 0.250 0.250
Sr 0.500 0.750 0.750
W 0.000 0.128 0.002
W 0.000 0.372 0.498
```

No. 2
The following is a PBE calculation of crystalline SrW2Se at its relaxed geometry, from the Alexandria database. Values from VASP.

Quantum ESPRESSO input file:
```
&SYSTEM
  ibrav = 0, nat = 4, ntyp = 3
/
ATOMIC_SPECIES
Se 78.96 Se.upf
Sr 87.62 Sr.upf
W 183.84 W.upf
CELL_PARAMETERS angstrom
-5.419 -0.938 2.395
3.358 -4.204 -2.652
1.196 -0.602 2.469
ATOMIC_POSITIONS crystal
Se 0.500 0.000 0.500
Sr 0.000 0.500 0.500
W 0.000 0.000 0.000
W 0.500 0.500 0.000
```

| no. | formation energy without anion corrections (eV/atom) |
| --- | --- |
| 1 | 0.73 |
| 2 | 1.17 |